No. 1
This record from the Alexandria database describes a relaxed structure of RbSi2GePt. The functional is PBE.

Lattice parameters (Å, degrees): 5.4239 5.4239 5.1476 90.00 90.00 90.00
Sites, in units of the cell vectors:
Rb (0.0000, 0.0000, 0.0000)
Si (0.0000, 0.5000, 0.0000)
Si (0.5000, 0.0000, 0.0000)
Ge (0.5000, 0.5000, 0.5000)
Pt (0.0000, 0.0000, 0.5000)

Output
* total magnetization: 0.000 μB/atom
* space group: No. 123
* calculated volume: 30.29 Å³ per atom
* total DFT energy (no corrections): -11.3 eV/f.u.



No. 2
This record from the Alexandria database describes a relaxed structure of RbSnGe2Pt4. The functional is PBE.

Lattice parameters (Å, degrees): 4.0266 4.0266 11.1582 90.00 90.00 90.00
Sites, in units of the cell vectors:
Rb (0.0000, 0.0000, 0.0000)
Sn (0.0000, 0.0000, 0.5000)
Ge (0.5000, 0.5000, 0.1963)
Ge (0.5000, 0.5000, 0.8037)
Pt (0.0000, 0.5000, 0.3293)
Pt (0.0000, 0.5000, 0.6707)
Pt (0.5000, 0.0000, 0.3293)
Pt (0.5000, 0.0000, 0.6707)

Output
* total magnetization: 0.000 μB/atom
* space group: No. 123
* DFT formation energy: -427 meV per atom
* calculated volume: 22.61 Å³ per atom
* total DFT energy (no corrections): -41.8 eV/f.u.



No. 3
This record from the Alexandria database describes a relaxed structure of RbTcGe2Pt. The functional is PBE.

Lattice parameters (Å, degrees): 4.8570 4.8570 5.9329 90.00 90.00 90.00
Sites, in units of the cell vectors:
Rb (0.0000, 0.0000, 0.0000)
Tc (0.5000, 0.5000, 0.0000)
Ge (0.0000, 0.5000, 0.5000)
Ge (0.5000, 0.0000, 0.5000)
Pt (0.0000, 0.0000, 0.5000)

Output
* total magnetization: 0.739 μB/atom
* space group: No. 123
* DFT formation energy: 1051 meV per atom
* calculated volume: 27.99 Å³ per atom
* total DFT energy (no corrections): -21.4 eV/f.u.



No. 4
This record from the Alexandria database describes a relaxed structure of RbGe2Te8Pt. The functional is PBE.

Lattice parameters (Å, degrees): 12.7682 12.7682 12.7682 29.35 29.35 29.35
Sites, in units of the cell vectors:
Rb (0.0000, 0.0000, 0.0000)
Ge (0.2388, 0.2388, 0.2388)
Ge (0.7612, 0.7612, 0.7612)
Te (0.1749, 0.8020, 0.3795)
Te (0.1980, 0.6205, 0.8251)
Te (0.3078, 0.3078, 0.3078)
Te (0.3795, 0.1749, 0.8020)
Te (0.6205, 0.8251, 0.1980)
Te (0.6922, 0.6922, 0.6922)
Te (0.8020, 0.3795, 0.1749)
Te (0.8251, 0.1980, 0.6205)
Pt (0.5000, 0.5000, 0.5000)

Output
* total magnetization: 0.000 μB/atom
* space group: No. 148
* calculated volume: 36.89 Å³ per atom
* total DFT energy (no corrections): -42.8 eV/f.u.



No. 5
This record from the Alexandria database describes a relaxed structure of RbTi2GePt. The functional is PBE.

Lattice parameters (Å, degrees): 4.9624 4.9624 4.8694 90.00 90.00 90.00
Sites, in units of the cell vectors:
Rb (0.0000, 0.0000, 0.0000)
Ti (0.0000, 0.5000, 0.5000)
Ti (0.5000, 0.0000, 0.5000)
Ge (0.5000, 0.5000, 0.5000)
Pt (0.5000, 0.5000, 0.0000)

Output
* total magnetization: 0.000 μB/atom
* space group: No. 123
* DFT formation energy: 589 meV per atom
* calculated volume: 23.98 Å³ per atom
* total DFT energy (no corrections): -24.5 eV/f.u.



No. 6
This record from the Alexandria database describes a relaxed structure of Rb2YGePt. The functional is PBE.

Lattice parameters (Å, degrees): 7.0668 7.0668 5.2300 90.00 90.00 90.00
Sites, in units of the cell vectors:
Rb (0.0000, 0.5000, 0.0000)
Rb (0.5000, 0.0000, 0.0000)
Y (0.0000, 0.0000, 0.0000)
Ge (0.0000, 0.0000, 0.5000)
Pt (0.5000, 0.5000, 0.5000)

Output
* total magnetization: 0.111 μB/atom
* space group: No. 123
* DFT formation energy: 1076 meV per atom
* calculated volume: 52.24 Å³ per atom
* total DFT energy (no corrections): -13.7 eV/f.u.



No. 7
This record from the Alexandria database describes a relaxed structure of RbZnGePt2. The functional is PBE.

Lattice parameters (Å, degrees): 4.8553 4.8553 5.0952 90.00 90.00 90.00
Sites, in units of the cell vectors:
Rb (0.0000, 0.0000, 0.0000)
Zn (0.5000, 0.5000, 0.0000)
Ge (0.5000, 0.5000, 0.5000)
Pt (0.0000, 0.5000, 0.5000)
Pt (0.5000, 0.0000, 0.5000)

Output
* distance to the lowest polymorph of the same formula: 0.000 eV per atom
* total magnetization: 0.000 μB/atom
* space group: No. 123
* DFT formation energy: 118 meV per atom
* calculated volume: 24.02 Å³ per atom
* total DFT energy (no corrections): -18.4 eV/f.u.



No. 8
This record from the Alexandria database describes a relaxed structure of RbZnGePt2. The functional is PBE.

Lattice parameters (Å, degrees): 4.7321 4.7321 6.4867 90.00 90.00 90.00
Sites, in units of the cell vectors:
Rb (0.0000, 0.0000, 0.0000)
Zn (0.5000, 0.5000, 0.0000)
Ge (0.0000, 0.0000, 0.5000)
Pt (0.0000, 0.5000, 0.5000)
Pt (0.5000, 0.0000, 0.5000)

Output
* distance to the lowest polymorph of the same formula: 0.269 eV per atom
* total magnetization: 0.000 μB/atom
* space group: No. 123
* DFT formation energy: 388 meV per atom
* calculated volume: 29.05 Å³ per atom
* total DFT energy (no corrections): -17.0 eV/f.u.